A geometry-optimized RbLiMnF4 structure. Source: Alexandria, functional PBE+U.

a = 6.008 Å, b = 5.651 Å, c = 7.269 Å
α = 90.00°, β = 101.42°, γ = 90.00°
Each line ends with the local moment (μB).
Sites, in units of the cell vectors:
F 0.977 0.482 0.677  0.03
Li 0.893 0.750 0.516  0.00
Rb 0.234 0.250 0.019  0.00
Li 0.107 0.250 0.484  0.00
Mn 0.706 0.250 0.645  4.64
F 0.354 0.750 0.094  0.04
Rb 0.766 0.750 0.981  0.00
F 0.023 0.518 0.323  0.03
F 0.977 0.018 0.677  0.03
F 0.583 0.750 0.548  0.03
F 0.023 0.982 0.323  0.03
F 0.646 0.250 0.906  0.04
F 0.417 0.250 0.452  0.03
Mn 0.294 0.750 0.355  4.64

Output
Crystal system: monoclinic
Total magnetic moment (μB per formula unit): 5.00
Total energy (eV/atom): -5.24
Mass density (g cm⁻³): 3.1